Here is an optimized crystal structure of LiNi4O8 from the Alexandria database. Energies are from PBE+U.

Geometry as POSCAR:
```
LiNi4O8
1.0
5.6747 -0.0007 -0.0200
2.9129 4.8701 -0.0200
1.4768 0.8374 4.9347
Li Ni O
1 4 8
Cartesian
0.7384 0.4187 2.4673
6.4410 3.6522 0.0225
3.6043 3.6507 -0.0200
4.9833 1.2187 -0.0200
3.6234 2.0546 4.8720
6.4261 3.6437 3.9345
3.6603 3.7302 3.9674
5.0803 1.2259 3.9674
2.0907 1.1855 3.9067
7.9738 4.5213 0.9879
4.9841 4.4809 0.9272
6.4042 1.9765 0.9272
3.6384 2.0630 0.9601
```

Properties
- symmetry = C2/m (12)
- D(E_F) (states/eV per cell) = 3.230
- total magnetization (μB per atom) = 0.08
- final energy (eV per atom) = -4.679